A geometry-optimized Sr2TlCdRh structure, computed with GGA-PBE.

a = 5.7100 Å, b = 5.7100 Å, c = 5.2661 Å
α = 90.00°, β = 90.00°, γ = 90.00°
Closest atoms and distances in Å follow each position.
Element x y z (fractional)
Sr 0.0000 0.5000 0.0000  2 Rh 2.85
Sr 0.5000 0.0000 0.0000  2 Rh 2.85
Tl 0.0000 0.0000 0.5000  8 Sr 3.88, 4 Cd 4.04
Cd 0.5000 0.5000 0.5000  2 Rh 2.63
Rh 0.5000 0.5000 0.0000  2 Cd 2.63, 4 Sr 2.85

energy of formation: -4.0 kcal/mol of atoms
energy relative to the lowest polymorph listed for this composition: 47 meV/atom
N(E_F): 2.90 states/eV per cell
density: 5.754 g cm⁻³
SG: P4/mmm, No. 123